Entry 1:
# PBE Ba2ThZrS6, optimized geometry
# Density of states at the Fermi level (states/eV/cell): 0.000
# Formation energy from raw total energies (eV/atom): -1.928
data_Ba2ThZrS6
_cell_length_a 7.215
_cell_length_b 7.466
_cell_length_c 12.575
_cell_angle_alpha 90.00
_cell_angle_beta 124.56
_cell_angle_gamma 90.00
_space_group_name_H-M_alt 'P 1'
_space_group_IT_number 1
loop_
_space_group_symop_operation_xyz
'x,y,z'
loop_
_atom_site_label
_atom_site_fract_x
_atom_site_fract_y
_atom_site_fract_z
_atom_site_occupancy
Ba1 0.232 0.061 0.249 1
Ba2 0.232 0.439 0.749 1
Ba3 0.768 0.561 0.251 1
Ba4 0.768 0.939 0.751 1
Th1 0.500 0.000 0.000 1
Th2 0.500 0.500 0.500 1
Zr1 0.000 0.000 0.500 1
Zr2 0.000 0.500 0.000 1
S1 0.151 0.214 0.956 1
S2 0.151 0.286 0.456 1
S3 0.244 0.697 0.957 1
S4 0.244 0.803 0.457 1
S5 0.323 0.018 0.741 1
S6 0.323 0.482 0.241 1
S7 0.677 0.518 0.759 1
S8 0.677 0.982 0.259 1
S9 0.756 0.197 0.543 1
S10 0.756 0.303 0.043 1
S11 0.849 0.714 0.544 1
S12 0.849 0.786 0.044 1

---

Entry 2:
# PBE InCu2Pt, optimized geometry
# Density of states at the Fermi level (states/eV/cell): 2.581
# DFT formation energy (meV per atom): 42.4
data_InCu2Pt
_cell_length_a 9.652
_cell_length_b 9.652
_cell_length_c 9.652
_cell_angle_alpha 157.11
_cell_angle_beta 157.11
_cell_angle_gamma 32.59
_space_group_name_H-M_alt 'P 1'
_space_group_IT_number 1
loop_
_space_group_symop_operation_xyz
'x,y,z'
loop_
_atom_site_label
_atom_site_fract_x
_atom_site_fract_y
_atom_site_fract_z
_atom_site_occupancy
In1 0.000 0.000 0.000 1
In2 0.750 0.250 0.500 1
Cu1 0.158 0.625 0.033 1
Cu2 0.375 0.408 0.533 1
Cu3 0.592 0.125 0.967 1
Cu4 0.875 0.842 0.467 1
Pt1 0.250 0.750 0.500 1
Pt2 0.500 0.500 0.000 1

---

Entry 3:
# PBE Y2Zn2Cd, optimized geometry
# Density of states at the Fermi level (states/eV/cell): 6.359
# DFT formation energy (meV per atom): -94.5
data_Y2Zn2Cd
_cell_length_a 9.281
_cell_length_b 9.281
_cell_length_c 9.281
_cell_angle_alpha 156.92
_cell_angle_beta 156.92
_cell_angle_gamma 32.86
_space_group_name_H-M_alt 'P 1'
_space_group_IT_number 1
loop_
_space_group_symop_operation_xyz
'x,y,z'
loop_
_atom_site_label
_atom_site_fract_x
_atom_site_fract_y
_atom_site_fract_z
_atom_site_occupancy
Y1 0.107 0.107 0.000 1
Y2 0.893 0.893 0.000 1
Zn1 0.250 0.750 0.500 1
Zn2 0.750 0.250 0.500 1
Cd1 0.500 0.500 0.000 1

---

Entry 4:
# PBE Na3CeBr7, optimized geometry
# Formation energy from raw total energies (eV/atom): -1.533
data_Na3CeBr7
_cell_length_a 7.620
_cell_length_b 7.620
_cell_length_c 7.960
_cell_angle_alpha 113.30
_cell_angle_beta 113.30
_cell_angle_gamma 71.07
_space_group_name_H-M_alt 'P 1'
_space_group_IT_number 1
loop_
_space_group_symop_operation_xyz
'x,y,z'
loop_
_atom_site_label
_atom_site_fract_x
_atom_site_fract_y
_atom_site_fract_z
_atom_site_occupancy
Na1 0.000 0.000 0.000 1
Na2 0.312 0.752 0.460 1
Na3 0.752 0.312 0.460 1
Ce1 0.625 0.625 0.041 1
Br1 0.246 0.690 0.769 1
Br2 0.425 0.958 0.275 1
Br3 0.434 0.434 0.147 1
Br4 0.690 0.246 0.769 1
Br5 0.712 0.712 0.758 1
Br6 0.908 0.908 0.276 1
Br7 0.958 0.425 0.275 1

---

Entry 5:
# PBE YCr2Mo, optimized geometry
# Density of states at the Fermi level (states/eV/cell): 4.197
# Offset from the most stable computed form (meV/atom): 42.2
# DFT formation energy (meV per atom): 396.8
data_YCr2Mo
_cell_length_a 3.006
_cell_length_b 3.006
_cell_length_c 7.335
_cell_angle_alpha 90.00
_cell_angle_beta 90.00
_cell_angle_gamma 90.00
_space_group_name_H-M_alt 'P 1'
_space_group_IT_number 1
loop_
_space_group_symop_operation_xyz
'x,y,z'
loop_
_atom_site_label
_atom_site_fract_x
_atom_site_fract_y
_atom_site_fract_z
_atom_site_occupancy
Y1 0.000 0.000 0.000 1
Cr1 0.000 0.000 0.469 1
Cr2 0.500 0.500 0.301 1
Mo1 0.500 0.500 0.675 1

---

Entry 6:
# PBE TbNdScSe3, optimized geometry
# Density of states at the Fermi level (states/eV/cell): 7.122
# Formation energy from raw total energies (eV/atom): -1.578
data_TbNdScSe3
_cell_length_a 8.412
_cell_length_b 4.074
_cell_length_c 9.268
_cell_angle_alpha 90.00
_cell_angle_beta 103.98
_cell_angle_gamma 90.00
_space_group_name_H-M_alt 'P 1'
_space_group_IT_number 1
loop_
_space_group_symop_operation_xyz
'x,y,z'
loop_
_atom_site_label
_atom_site_fract_x
_atom_site_fract_y
_atom_site_fract_z
_atom_site_occupancy
Tb1 0.156 0.250 0.145 1
Tb2 0.844 0.750 0.855 1
Nd1 0.321 0.750 0.781 1
Nd2 0.679 0.250 0.219 1
Sc1 0.399 0.750 0.402 1
Sc2 0.601 0.250 0.598 1
Se1 0.071 0.250 0.822 1
Se2 0.259 0.250 0.509 1
Se3 0.399 0.750 0.117 1
Se4 0.601 0.250 0.883 1
Se5 0.741 0.750 0.491 1
Se6 0.929 0.750 0.178 1

---

Entry 7:
# PBE ScTl2TcSb, optimized geometry
# Density of states at the Fermi level (states/eV/cell): 5.048
# Formation energy from raw total energies (eV/atom): 1.257
data_ScTl2TcSb
_cell_length_a 5.728
_cell_length_b 5.728
_cell_length_c 5.392
_cell_angle_alpha 90.00
_cell_angle_beta 90.00
_cell_angle_gamma 90.00
_space_group_name_H-M_alt 'P 1'
_space_group_IT_number 1
loop_
_space_group_symop_operation_xyz
'x,y,z'
loop_
_atom_site_label
_atom_site_fract_x
_atom_site_fract_y
_atom_site_fract_z
_atom_site_occupancy
Sc1 0.000 0.000 0.000 1
Tl1 0.000 0.500 0.500 1
Tl2 0.500 0.000 0.500 1
Tc1 0.500 0.500 0.000 1
Sb1 0.000 0.000 0.500 1

---

Entry 8:
# PBE InSn3Se6, optimized geometry
# Density of states at the Fermi level (states/eV/cell): 1.172
# Offset from the most stable computed form (meV/atom): 201.8
# Formation energy from raw total energies (eV/atom): -0.124
data_InSn3Se6
_cell_length_a 7.821
_cell_length_b 7.432
_cell_length_c 7.357
_cell_angle_alpha 63.85
_cell_angle_beta 58.54
_cell_angle_gamma 57.60
_space_group_name_H-M_alt 'P 1'
_space_group_IT_number 1
loop_
_space_group_symop_operation_xyz
'x,y,z'
loop_
_atom_site_label
_atom_site_fract_x
_atom_site_fract_y
_atom_site_fract_z
_atom_site_occupancy
In1 0.000 0.000 0.000 1
Sn1 0.250 0.250 0.250 1
Sn2 0.500 0.500 0.500 1
Sn3 0.750 0.750 0.750 1
Se1 0.115 0.885 0.621 1
Se2 0.245 0.245 0.755 1
Se3 0.379 0.621 0.885 1
Se4 0.621 0.379 0.115 1
Se5 0.755 0.755 0.245 1
Se6 0.885 0.115 0.379 1

---

Entry 9:
# PBE AsP2Au, optimized geometry
# Density of states at the Fermi level (states/eV/cell): 1.694
# DFT formation energy (meV per atom): 77.0
data_AsP2Au
_cell_length_a 4.621
_cell_length_b 4.621
_cell_length_c 4.378
_cell_angle_alpha 109.08
_cell_angle_beta 109.08
_cell_angle_gamma 108.14
_space_group_name_H-M_alt 'P 1'
_space_group_IT_number 1
loop_
_space_group_symop_operation_xyz
'x,y,z'
loop_
_atom_site_label
_atom_site_fract_x
_atom_site_fract_y
_atom_site_fract_z
_atom_site_occupancy
As1 0.000 0.000 0.000 1
P1 0.025 0.583 0.519 1
P2 0.417 0.975 0.481 1
Au1 0.482 0.518 0.000 1

---

Entry 10:
# PBE YPSeO2, optimized geometry
# Density of states at the Fermi level (states/eV/cell): 4.130
# Offset from the most stable computed form (meV/atom): 176.5
# Formation energy from raw total energies (eV/atom): -0.650
data_YPSeO2
_cell_length_a 4.155
_cell_length_b 4.155
_cell_length_c 6.577
_cell_angle_alpha 90.00
_cell_angle_beta 90.00
_cell_angle_gamma 90.00
_space_group_name_H-M_alt 'P 1'
_space_group_IT_number 1
loop_
_space_group_symop_operation_xyz
'x,y,z'
loop_
_atom_site_label
_atom_site_fract_x
_atom_site_fract_y
_atom_site_fract_z
_atom_site_occupancy
Y1 0.000 0.000 0.000 1
P1 0.000 0.000 0.500 1
Se1 0.500 0.500 0.500 1
O1 0.000 0.500 0.000 1
O2 0.500 0.000 0.000 1

---

Entry 11:
# PBE LaScSiAu2, optimized geometry
# Density of states at the Fermi level (states/eV/cell): 4.025
# Formation energy from raw total energies (eV/atom): -0.273
data_LaScSiAu2
_cell_length_a 4.855
_cell_length_b 4.855
_cell_length_c 5.001
_cell_angle_alpha 90.00
_cell_angle_beta 90.00
_cell_angle_gamma 90.00
_space_group_name_H-M_alt 'P 1'
_space_group_IT_number 1
loop_
_space_group_symop_operation_xyz
'x,y,z'
loop_
_atom_site_label
_atom_site_fract_x
_atom_site_fract_y
_atom_site_fract_z
_atom_site_occupancy
La1 0.000 0.000 0.000 1
Sc1 0.500 0.500 0.000 1
Si1 0.500 0.500 0.500 1
Au1 0.000 0.500 0.500 1
Au2 0.500 0.000 0.500 1

---

Entry 12:
# PBE CaMgCr2Pt, optimized geometry
# Density of states at the Fermi level (states/eV/cell): 4.473
# DFT formation energy (meV per atom): 1881.8
data_CaMgCr2Pt
_cell_length_a 4.622
_cell_length_b 4.622
_cell_length_c 5.015
_cell_angle_alpha 90.00
_cell_angle_beta 90.00
_cell_angle_gamma 90.00
_space_group_name_H-M_alt 'P 1'
_space_group_IT_number 1
loop_
_space_group_symop_operation_xyz
'x,y,z'
loop_
_atom_site_label
_atom_site_fract_x
_atom_site_fract_y
_atom_site_fract_z
_atom_site_occupancy
Ca1 0.000 0.000 0.000 1
Mg1 0.000 0.000 0.500 1
Cr1 0.000 0.500 0.000 1
Cr2 0.500 0.000 0.000 1
Pt1 0.500 0.500 0.500 1